A relaxed structure of Pm3SnSb2, computed with PBE-GGA.

a b c (Å): 6.359 8.858 7.847
angles (deg): 106.38 113.90 90.00
Positions (direct):
Pm 0.500 0.250 0.000
Pm 0.500 0.750 0.000
Pm 0.170 0.085 0.340
Pm 0.830 0.415 0.660
Pm 0.170 0.585 0.340
Pm 0.830 0.915 0.660
Sn 0.999 0.750 0.000
Sn 0.001 0.250 0.000
Sb 0.667 0.583 0.333
Sb 0.667 0.083 0.333
Sb 0.333 0.917 0.667
Sb 0.333 0.417 0.667

Values from the calculation:
The raw formation energy is -976 meV per atom. The space-group type is C2/c. As for the calculated volume: 32.03 Å³ per atom.

=====

A relaxed structure of Pm6SnSb5, computed with PBE-GGA.

a b c (Å): 7.769 7.784 7.789
angles (deg): 60.02 80.37 70.45
Positions (direct):
Sb 0.500 0.167 0.666
Sb 0.000 0.334 0.333
Sb 0.500 0.500 0.000
Sb 0.000 0.666 0.667
Sb 0.500 0.833 0.334
Sn 0.000 0.000 0.000
Pm 0.750 0.083 0.335
Pm 0.250 0.581 0.335
Pm 0.251 0.252 0.000
Pm 0.749 0.748 0.000
Pm 0.750 0.419 0.665
Pm 0.250 0.917 0.665

Values from the calculation:
The raw formation energy is -1078 meV per atom. The space-group type is C2/m. As for the calculated volume: 32.04 Å³ per atom.